Here is an optimized crystal structure of TmMn2SiO6 from Alexandria. Energies are from GGA+U.

Summary:
**E**: -232.301 eV for the cell shown
**DOS(E_F)**: 0.0 states/eV per cell

Cell: 5.1025 5.1025 14.2696 Å, 90.00 90.00 120.00°
Closest atoms and distances in Å follow each position.
Space group R3 (No. 146, hexagonal axes)
Inequivalent atoms, fractional coordinates:
Tm 0.0000 0.0000 0.0000 (multiplicity 3)  6 O 2.16-2.35
Mn 0.0000 0.0000 0.1988 (multiplicity 3)  6 O 1.99-2.01
Mn 0.0000 0.0000 0.7291 (multiplicity 3)  3 O 2.11
Si 0.0000 0.0000 0.5194 (multiplicity 3)  6 O 1.82-1.83
O 0.0561 0.3457 0.1178 (multiplicity 9)  1 Si 1.82, 1 Mn 2.01
O 0.0597 0.6887 0.2642 (multiplicity 9)  1 Si 1.83, 1 Mn 1.99